1.
Density functional theory data (GGA-PBE) for crystalline SnIrRuO6 at its relaxed geometry.

Lattice parameters (Å, degrees): 4.6333 4.6333 9.6554 90.00 90.00 90.00
With the nearest neighbours (Å) after each atom.
Space group P4_2nm (No. 102)
One atom of each set of equivalent atoms:
Sn 0.0000 0.0000 0.0000 (multiplicity 2)  6 O 2.07-2.10
Ir 0.0000 0.0000 0.6681 (multiplicity 2)  6 O 1.99-2.03
Ru 0.0000 0.0000 0.3307 (multiplicity 2)  6 O 1.98-2.03
O 0.1838 0.1838 0.4995 (multiplicity 4)  1 Ir 2.03, 1 Ru 2.03, 1 Sn 2.07
O 0.1968 0.1968 0.1710 (multiplicity 4)  1 Ir 1.99, 1 Ru 2.01, 1 Sn 2.09
O 0.1972 0.1972 0.8288 (multiplicity 4)  1 Ru 1.98, 1 Ir 2.02, 1 Sn 2.10

Output
- Calculated total energy: -123.08 eV/cell
- M_tot: 1.16 μB/cell
- Raw formation energy: -1.072 eV per atom

=====

2.
Density functional theory data (GGA-PBE) for crystalline LaTbPr2Nd at its relaxed geometry.

Lattice parameters (Å, degrees): 8.5595 6.6724 6.3944 90.00 94.89 90.00
With the nearest neighbours (Å) after each atom.
Space group P2/c (No. 13)
One atom of each set of equivalent atoms:
La 0.0000 0.0000 0.0000 (multiplicity 2)  2 La 3.20, 2 Nd 3.30, 2 Pr 3.56
Tb 0.5000 0.1649 0.2500 (multiplicity 2)  8 Pr 3.55-3.86, 2 Tb 3.88
Pr 0.3108 0.3096 0.7212 (multiplicity 4)  1 Nd 3.18, 1 Pr 3.23, 1 Tb 3.55, 1 La 3.56
Nd 0.0000 0.4332 0.2500 (multiplicity 2)  2 Pr 3.18, 2 La 3.30, 2 Nd 3.32

Output
- Calculated total energy: -45.25 eV/cell
- M_tot: 0.00 μB/cell

=====

3.
Density functional theory data (GGA-PBE) for crystalline Sr5In at its relaxed geometry.

Lattice parameters (Å, degrees): 7.4274 7.4274 6.9211 90.00 90.00 120.00
With the nearest neighbours (Å) after each atom.
Space group P6/mmm (No. 191)
One atom of each set of equivalent atoms:
Sr 0.0000 0.5000 0.0000 (multiplicity 3)  8 Sr 3.71-4.07
Sr 0.3333 0.6667 0.5000 (multiplicity 2)  9 Sr 4.07-4.29, 3 In 4.29
In 0.0000 0.0000 0.5000 (multiplicity 1)  6 Sr 4.29

Output
- Calculated total energy: -9.20 eV/cell
- M_tot: 0.00 μB/cell
- Energy above the lowest structure with this stoichiometry: 457 meV/atom

=====

4.
Density functional theory data (GGA-PBE) for crystalline Er6Si3C at its relaxed geometry.

Lattice parameters (Å, degrees): 6.2690 7.5789 11.5114 90.00 122.06 90.00
With the nearest neighbours (Å) after each atom.
Space group P2_1/c (No. 14)
One atom of each set of equivalent atoms:
Er 0.0976 0.0501 0.2337 (multiplicity 4)  1 C 2.45
Er 0.2058 0.7042 0.0630 (multiplicity 4)  1 C 2.49, 1 Si 2.78
Er 0.3837 0.1651 0.0617 (multiplicity 4)  1 C 2.46
Si 0.3101 0.1064 0.7472 (multiplicity 4)  6 Er 2.88-3.00
Si 0.5000 0.0000 0.5000 (multiplicity 2)  6 Er 2.77-2.83
C 0.0000 0.0000 0.0000 (multiplicity 2)  6 Er 2.45-2.49

Output
- Calculated total energy: -116.25 eV/cell
- M_tot: 0.02 μB/cell
- Raw formation energy: -0.526 eV per atom

=====

5.
Density functional theory data (GGA-PBE) for crystalline Sc2NiBr at its relaxed geometry.

Lattice parameters (Å, degrees): 3.7895 3.7895 10.7654 90.00 90.00 90.00
With the nearest neighbours (Å) after each atom.
Space group I-4m2 (No. 119)
One atom of each set of equivalent atoms:
Sc 0.0000 0.0000 0.0000 (multiplicity 2)  4 Ni 2.68
Sc 0.0000 0.5000 0.2500 (multiplicity 2)  4 Br 2.68
Ni 0.0000 0.0000 0.5000 (multiplicity 2)  4 Sc 2.68
Br 0.0000 0.5000 0.7500 (multiplicity 2)  4 Sc 2.68

Output
- Calculated total energy: -42.20 eV/cell
- M_tot: 0.00 μB/cell
- Raw formation energy: -0.246 eV per atom
- Energy above the lowest structure with this stoichiometry: 462 meV/atom

=====

6.
Density functional theory data (GGA-PBE) for crystalline Zn2CrPt at its relaxed geometry.

Lattice parameters (Å, degrees): 5.5386 7.4181 2.8785 90.00 90.00 90.00
With the nearest neighbours (Å) after each atom.
Space group Cmmm (No. 65)
One atom of each set of equivalent atoms:
Zn 0.2500 0.2500 0.0000 (multiplicity 4)  4 Cr 2.73, 4 Pt 2.73, 4 Zn 2.77-2.88
Cr 0.0000 0.0000 0.5000 (multiplicity 2)  8 Zn 2.73, 2 Pt 2.77, 2 Cr 2.88
Pt 0.0000 0.5000 0.5000 (multiplicity 2)  8 Zn 2.73, 2 Cr 2.77, 2 Pt 2.88

Output
- Calculated total energy: -37.34 eV/cell
- M_tot: 7.99 μB/cell

=====

7.
Density functional theory data (GGA-PBE) for crystalline TbHo3Pd6 at its relaxed geometry.

Lattice parameters (Å, degrees): 8.0982 4.6016 11.3064 90.00 103.70 90.00
With the nearest neighbours (Å) after each atom.
Space group P2_1/m (No. 11)
One atom of each set of equivalent atoms:
Tb 0.0950 0.2500 0.4071 (multiplicity 2)  7 Pd 2.84-3.10
Ho 0.1898 0.2500 0.9934 (multiplicity 2)  7 Pd 2.87-3.07
Ho 0.3625 0.7500 0.8140 (multiplicity 2)  8 Pd 2.71-2.97
Ho 0.4858 0.7500 0.3778 (multiplicity 2)  6 Pd 2.83-3.08
Pd 0.0428 0.7500 0.8484 (multiplicity 2)  4 Ho 2.71-2.91, 3 Pd 2.74-2.99, 1 Tb 2.84
Pd 0.1454 0.7500 0.1861 (multiplicity 2)  6 Pd 2.74-2.96, 1 Ho 2.98
Pd 0.1505 0.2500 0.7024 (multiplicity 2)  5 Pd 2.96-3.11, 4 Ho 2.97-3.28, 3 Tb 3.10-3.26
Pd 0.2692 0.7500 0.5567 (multiplicity 2)  4 Ho 2.83-3.01, 3 Tb 3.00-3.07, 2 Pd 3.11
Pd 0.3340 0.2500 0.2513 (multiplicity 2)  4 Ho 2.73-2.87, 3 Pd 2.76-2.99, 1 Tb 2.91
Pd 0.4384 0.7500 0.0822 (multiplicity 2)  3 Pd 2.89-3.23, 5 Ho 2.89-3.07

Output
- Calculated total energy: -116.41 eV/cell
- M_tot: 0.00 μB/cell

=====

8.
Density functional theory data (GGA-PBE) for crystalline TbPuCu at its relaxed geometry.

Lattice parameters (Å, degrees): 4.8853 4.8853 3.3778 90.00 90.00 120.00
With the nearest neighbours (Å) after each atom.
Space group P3m1 (No. 156)
One atom of each set of equivalent atoms:
Tb 0.0000 0.0000 0.0000 (multiplicity 1)  3 Cu 2.99, 3 Pu 3.16
Pu 0.6667 0.3333 0.4221 (multiplicity 1)  3 Cu 2.98, 3 Tb 3.16
Cu 0.3333 0.6667 0.7025 (multiplicity 1)  3 Pu 2.98, 3 Tb 2.99

Output
- Calculated total energy: -22.47 eV/cell
- M_tot: 6.05 μB/cell
- Energy above the lowest structure with this stoichiometry: 151 meV/atom

=====

9.
Density functional theory data (GGA-PBE) for crystalline LaYRe2 at its relaxed geometry.

Lattice parameters (Å, degrees): 3.3774 4.8174 5.0019 90.00 90.00 90.00
With the nearest neighbours (Å) after each atom.
Space group Pmmm (No. 47)
One atom of each set of equivalent atoms:
La 0.0000 0.0000 0.0000 (multiplicity 1)  4 Re 2.94, 4 Y 3.02
Y 0.5000 0.0000 0.5000 (multiplicity 1)  4 Re 2.94, 4 La 3.02
Re 0.0000 0.5000 0.5000 (multiplicity 1)  4 Y 2.94, 4 Re 3.02
Re 0.5000 0.5000 0.0000 (multiplicity 1)  4 La 2.94, 4 Re 3.02

Output
- Calculated total energy: -33.61 eV/cell
- M_tot: 0.00 μB/cell
- Energy above the lowest structure with this stoichiometry: 573 meV/atom

=====

10.
Density functional theory data (GGA-PBE) for crystalline Fe3AgGe at its relaxed geometry.

Lattice parameters (Å, degrees): 4.6904 4.6904 4.6904 90.00 90.00 90.00
With the nearest neighbours (Å) after each atom.
Space group Pm-3m (No. 221)
One atom of each set of equivalent atoms:
Fe 0.0000 0.0000 0.5000 (multiplicity 3)  2 Ag 2.35
Ag 0.0000 0.0000 0.0000 (multiplicity 1)  6 Fe 2.35
Ge 0.5000 0.5000 0.5000 (multiplicity 1)  12 Fe 3.32

Output
- Calculated total energy: -25.26 eV/cell
- M_tot: 9.25 μB/cell
- Energy above the lowest structure with this stoichiometry: 621 meV/atom

=====

11.
Density functional theory data (GGA-PBE) for crystalline Sr2HOs2 at its relaxed geometry.

Lattice parameters (Å, degrees): 5.9705 5.9705 6.4612 90.00 90.00 90.00
With the nearest neighbours (Å) after each atom.
Space group I4/mmm (No. 139)
One atom of each set of equivalent atoms:
Sr 0.0000 0.5000 0.2500 (multiplicity 4)  4 Os 3.02, 2 Sr 3.23
H 0.0000 0.0000 0.0000 (multiplicity 2)  2 Os 2.05
Os 0.0000 0.0000 0.3176 (multiplicity 4)  1 H 2.05

Output
- Calculated total energy: -48.37 eV/cell
- M_tot: 2.13 μB/cell
- Energy above the lowest structure with this stoichiometry: 0 meV/atom

=====

12.
Density functional theory data (GGA-PBE) for crystalline ScTaMnTc at its relaxed geometry.

Lattice parameters (Å, degrees): 6.3395 6.3395 6.3395 90.00 90.00 90.00
With the nearest neighbours (Å) after each atom.
Space group F-43m (No. 216)
One atom of each set of equivalent atoms:
Sc 0.0000 0.0000 0.0000 (multiplicity 4)  4 Mn 2.75, 4 Tc 2.75
Ta 0.0000 0.0000 0.5000 (multiplicity 4)  4 Mn 2.75, 4 Tc 2.75
Mn 0.2500 0.2500 0.7500 (multiplicity 4)  4 Ta 2.75, 4 Sc 2.75
Tc 0.2500 0.2500 0.2500 (multiplicity 4)  4 Ta 2.75, 4 Sc 2.75

Output
- Calculated total energy: -153.72 eV/cell
- M_tot: 5.79 μB/cell